# 1
# PBE CsPm5Se8, optimized geometry
data_CsPm5Se8
_chemical_formula_sum 'Cs2 Pm10 Se16'
_cell_length_a 21.952
_cell_length_b 4.286
_cell_length_c 10.349
_cell_angle_alpha 90.00
_cell_angle_beta 103.98
_cell_angle_gamma 90.00
_space_group_name_H-M_alt 'C 1 m 1'
_space_group_IT_number 8
_space_group_name_Hall 'C -2y'
loop_
_atom_site_label
_atom_site_type_symbol
_atom_site_fract_x
_atom_site_fract_y
_atom_site_fract_z
Cs1 Cs 0.000 0.000 0.000
Pm1 Pm 0.000 0.500 0.500
Pm2 Pm 0.155 0.000 0.446
Pm3 Pm 0.203 0.000 0.840
Pm4 Pm 0.297 0.500 0.161
Pm5 Pm 0.344 0.500 0.555
Se1 Se 0.079 0.000 0.645
Se2 Se 0.080 0.500 0.307
Se3 Se 0.170 0.500 0.995
Se4 Se 0.226 0.500 0.643
Se5 Se 0.273 0.000 0.358
Se6 Se 0.330 0.000 0.005
Se7 Se 0.420 0.000 0.694
Se8 Se 0.421 0.500 0.355
# uncorrected energy	-156.297	eV for the cell shown
# calculated volume	33.74	Å³/atom

# 2
# PBE CsPm3Se4, optimized geometry
data_CsPm3Se4
_chemical_formula_sum 'Cs2 Pm6 Se8'
_cell_length_a 4.2805
_cell_length_b 4.2805
_cell_length_c 30.3645
_cell_angle_alpha 90.00
_cell_angle_beta 90.00
_cell_angle_gamma 120.00
_space_group_name_H-M_alt 'P 63/m m c'
_space_group_IT_number 194
_space_group_name_Hall '-P 6c 2c'
loop_
_atom_site_label
_atom_site_type_symbol
_atom_site_fract_x
_atom_site_fract_y
_atom_site_fract_z
Cs1 Cs 0.3333 0.6667 0.2500
Pm1 Pm 0.0000 0.0000 0.0000
Pm2 Pm 0.3333 0.6667 0.6111
Se1 Se 0.0000 0.0000 0.1641
Se2 Se 0.3333 0.6667 0.0556
# uncorrected energy	-86.530	eV for the cell shown
# calculated volume	30.11	Å³/atom

# 3
# PBE Cs3PmSe3, optimized geometry
data_Cs3PmSe3
_chemical_formula_sum 'Cs12 Pm4 Se12'
_cell_length_a 9.075
_cell_length_b 15.370
_cell_length_c 11.696
_cell_angle_alpha 90.00
_cell_angle_beta 127.50
_cell_angle_gamma 90.00
_space_group_name_H-M_alt 'P 1 21/c 1'
_space_group_IT_number 14
_space_group_name_Hall '-P 2ybc'
loop_
_atom_site_label
_atom_site_type_symbol
_atom_site_fract_x
_atom_site_fract_y
_atom_site_fract_z
Cs1 Cs 0.114 0.122 0.472
Cs2 Cs 0.169 0.114 0.885
Cs3 Cs 0.331 0.672 0.542
Pm1 Pm 0.447 0.067 0.337
Se1 Se 0.176 0.196 0.196
Se2 Se 0.329 0.598 0.862
Se3 Se 0.361 0.543 0.274
# polymorph energy (0 for the lowest one)	8	meV per atom
# calculated volume	46.22	Å³/atom

# 4
# PBE CsPmSiSe4, optimized geometry
data_CsPmSiSe4
_chemical_formula_sum 'Cs2 Pm2 Si2 Se8'
_cell_length_a 6.774
_cell_length_b 7.078
_cell_length_c 9.898
_cell_angle_alpha 90.00
_cell_angle_beta 108.50
_cell_angle_gamma 90.00
_space_group_name_H-M_alt 'P 1 21/m 1'
_space_group_IT_number 11
_space_group_name_Hall '-P 2yb'
loop_
_atom_site_label
_atom_site_type_symbol
_atom_site_fract_x
_atom_site_fract_y
_atom_site_fract_z
Cs1 Cs 0.238 0.250 0.437
Pm1 Pm 0.271 0.250 0.953
Si1 Si 0.287 0.750 0.166
Se1 Se 0.085 0.750 0.933
Se2 Se 0.091 0.750 0.315
Se3 Se 0.489 0.503 0.797
# uncorrected energy	-67.679	eV for the cell shown
# calculated volume	32.14	Å³/atom

# 5
# PBE Cs3Pm2SmSe6, optimized geometry
data_Cs3Pm2SmSe6
_chemical_formula_sum 'Cs6 Pm4 Sm2 Se12'
_cell_length_a 7.563
_cell_length_b 13.100
_cell_length_c 8.772
_cell_angle_alpha 90.00
_cell_angle_beta 106.70
_cell_angle_gamma 90.00
_space_group_name_H-M_alt 'C 1 2/m 1'
_space_group_IT_number 12
_space_group_name_Hall '-C 2y'
loop_
_atom_site_label
_atom_site_type_symbol
_atom_site_fract_x
_atom_site_fract_y
_atom_site_fract_z
Cs1 Cs 0.000 0.000 0.000
Cs2 Cs 0.000 0.333 0.000
Pm1 Pm 0.000 0.167 0.500
Sm1 Sm 0.000 0.500 0.500
Se1 Se 0.229 0.334 0.689
Se2 Se 0.231 0.000 0.689
# uncorrected energy	-116.934	eV for the cell shown
# calculated volume	34.68	Å³/atom

# 6
# PBE Cs2PmSmSe4, optimized geometry
data_Cs2PmSmSe4
_chemical_formula_sum 'Cs2 Pm1 Sm1 Se4'
_cell_length_a 7.557
_cell_length_b 4.363
_cell_length_c 8.768
_cell_angle_alpha 90.00
_cell_angle_beta 106.68
_cell_angle_gamma 90.00
_space_group_name_H-M_alt 'P 1 2/m 1'
_space_group_IT_number 10
_space_group_name_Hall '-P 2y'
loop_
_atom_site_label
_atom_site_type_symbol
_atom_site_fract_x
_atom_site_fract_y
_atom_site_fract_z
Cs1 Cs 0.000 0.000 0.000
Cs2 Cs 0.500 0.500 0.000
Pm1 Pm 0.000 0.500 0.500
Sm1 Sm 0.500 0.000 0.500
Se1 Se 0.231 0.000 0.689
Se2 Se 0.272 0.500 0.311
# uncorrected energy	-38.965	eV for the cell shown
# calculated volume	34.62	Å³/atom